# Li3Ga2Pd8 | Alexandria | PBE | optimized geometry
data_Li3Ga2Pd8
_symmetry_space_group_name_H-M 'C m m m'
_symmetry_Int_Tables_number 65
_symmetry_space_group_name_Hall '-C 2 2'
_cell_length_a 8.275
_cell_length_b 11.752
_cell_length_c 4.128
_cell_angle_alpha 90.00
_cell_angle_beta 90.00
_cell_angle_gamma 90.00
loop_
_atom_site_label
_atom_site_type_symbol
_atom_site_fract_x
_atom_site_fract_y
_atom_site_fract_z
_atom_site_occupancy
Li1 Li 0.000 0.000 0.000 1
Li2 Li 0.249 0.000 0.500 1
Ga1 Ga 0.000 0.251 0.000 1
Pd1 Pd 0.000 0.128 0.500 1
Pd2 Pd 0.000 0.378 0.500 1
Pd3 Pd 0.246 0.375 0.000 1
# total moment	0.00	μB per formula unit
# Fermi-level density of states	0.463	states/eV/atom
# final energy	-4.461	eV/atom
# energy of formation	-0.36	eV/atom